Record 1
Entry from the Alexandria database: a relaxed structure of PuIr2Rh (PBE-GGA).

The space group is Pmma (No. 51) and the conventional cell measures 5.336, 4.298 and 6.202 Å, with angles of 90.00, 90.00 and 90.00 degrees. Symmetry generates all atoms from Pu at (0.250, 0.000, 0.192), Ir at (0.000, 0.500, 0.500), Ir at (0.250, 0.000, 0.648) and Rh at (0.250, 0.500, 0.890).

For the energy above the lowest structure with this stoichiometry, the calculation gives 97 meV/atom.

Record 2
Entry from the Alexandria database: a relaxed structure of Ac2La5TbSm (PBE-GGA).

The space group is Cmcm (No. 63) and the conventional cell measures 5.692, 22.746 and 10.639 Å, with angles of 90.00, 90.00 and 90.00 degrees. Symmetry generates all atoms from Ac at (0.000, 0.115, 0.013), La at (0.000, 0.004, 0.750), La at (0.000, 0.278, 0.060), La at (0.000, 0.378, 0.750), La at (0.000, 0.500, 0.000), Tb at (0.000, 0.397, 0.250) and Sm at (0.000, 0.215, 0.750).

Record 3
Entry from the Alexandria database: a relaxed structure of ZrGaHg2 (PBE-GGA).

The space group is R-3m (No. 166, hexagonal axes) and the conventional cell measures 3.1740, 3.1740 and 32.4139 Å, with angles of 90.00, 90.00 and 120.00 degrees. Symmetry generates all atoms from Zr at (0.0000, 0.0000, 0.0000), Ga at (0.0000, 0.0000, 0.5000) and Hg at (0.0000, 0.0000, 0.0911).

Record 4
Entry from the Alexandria database: a relaxed structure of K2RbHgAu (PBE-GGA).

The space group is P4/mmm (No. 123) and the conventional cell measures 6.493, 6.493 and 5.511 Å, with angles of 90.00, 90.00 and 90.00 degrees. Symmetry generates all atoms from K at (0.000, 0.500, 0.000), Rb at (0.000, 0.000, 0.500), Hg at (0.500, 0.500, 0.500) and Au at (0.500, 0.500, 0.000).

For the energy above the lowest structure with this stoichiometry, the calculation gives 0 meV/atom.

| no. | ΔH_f (0 K) (eV per atom) |
| --- | --- |
| 1 | -0.270 |
| 2 | 0.100 |
| 3 | 0.240 |
| 4 | -0.150 |